(1)
This record from Alexandria via LeMat-Bulk describes crystalline LiFeHg2 at its relaxed geometry. The functional is PBE.

The space group is R-3m (No. 166, hexagonal axes) and the conventional cell measures 3.0494, 3.0494 and 27.3481 Å, with angles of 90.00, 90.00 and 120.00 degrees. The distinct sites, in fractional coordinates, are Li at (0.0000, 0.0000, 0.0000), Fe at (0.0000, 0.0000, 0.5000) and Hg at (0.0000, 0.0000, 0.2491).

The value obtained for the total energy is -30.8 eV/cell.

---

(2)
This record from Alexandria via LeMat-Bulk describes crystalline CaYTa2 at its relaxed geometry. The functional is PBE.

The space group is Cmm2 (No. 35) and the conventional cell measures 3.641, 5.171 and 10.516 Å, with angles of 90.00, 90.00 and 90.00 degrees. The distinct sites, in fractional coordinates, are Ca at (0.000, 0.000, 0.000), Y at (0.000, 0.500, 0.684), Ta at (0.000, 0.000, 0.443) and Ta at (0.000, 0.500, 0.256).

The value obtained for the energy above the most stable polymorph in this dataset is 0.163 eV per atom.

---

(3)
This record from Alexandria via LeMat-Bulk describes crystalline CaZn2H8Os at its relaxed geometry. The functional is PBE.

The space group is P-3m1 (No. 164) and the conventional cell measures 4.4924, 4.4924 and 6.1640 Å, with angles of 90.00, 90.00 and 120.00 degrees. The distinct sites, in fractional coordinates, are Ca at (0.0000, 0.0000, 0.0000), Zn at (0.3333, 0.6667, 0.3423), H at (0.1702, 0.3404, 0.6723), H at (0.3333, 0.6667, 0.0638) and Os at (0.0000, 0.0000, 0.5000).

The value obtained for the total energy is -44.8 eV/cell.

---

(4)
This record from Alexandria via LeMat-Bulk describes crystalline Pr8Zn3SeBr4 at its relaxed geometry. The functional is PBE.

The space group is R-3m (No. 166, hexagonal axes) and the conventional cell measures 8.4929, 8.4929 and 22.3391 Å, with angles of 90.00, 90.00 and 120.00 degrees. The distinct sites, in fractional coordinates, are Pr at (0.0000, 0.0000, 0.2432), Pr at (0.0009, 0.5005, 0.2418), Zn at (0.0000, 0.5000, 0.5000), Se at (0.0000, 0.0000, 0.5000), Br at (0.0000, 0.0000, 0.0000) and Br at (0.0000, 0.5000, 0.0000).

The value obtained for the formation energy without anion corrections is -14.80 eV per formula unit.

---

(5)
This record from Alexandria via LeMat-Bulk describes crystalline SbRu2 at its relaxed geometry. The functional is PBE.

The space group is P-3m1 (No. 164) and the conventional cell measures 4.3752, 4.3752 and 2.9815 Å, with angles of 90.00, 90.00 and 120.00 degrees. The distinct sites, in fractional coordinates, are Sb at (0.0000, 0.0000, 0.0000) and Ru at (0.3333, 0.6667, 0.7397).

The value obtained for the formation energy without anion corrections is 0.85 eV per formula unit.

---

(6)
This record from Alexandria via LeMat-Bulk describes crystalline SrIrCO5 at its relaxed geometry. The functional is PBE.

The space group is C2/c (No. 15) and the conventional cell measures 6.524, 8.762 and 7.015 Å, with angles of 90.00, 115.69 and 90.00 degrees. The distinct sites, in fractional coordinates, are Sr at (0.000, 0.146, 0.250), Ir at (0.000, 0.500, 0.000), C at (0.000, 0.197, 0.750), O at (0.000, 0.417, 0.250), O at (0.102, 0.282, 0.646) and O at (0.165, 0.098, 0.911).

The value obtained for the formation energy without anion corrections is -10.82 eV per formula unit.

---

(7)
This record from Alexandria via LeMat-Bulk describes crystalline Ba2SiSb at its relaxed geometry. The functional is PBE.

The space group is P4/mmm (No. 123) and the conventional cell measures 5.433, 5.433 and 4.699 Å, with angles of 90.00, 90.00 and 90.00 degrees. The distinct sites, in fractional coordinates, are Ba at (0.000, 0.500, 0.000), Si at (0.000, 0.000, 0.500) and Sb at (0.500, 0.500, 0.500).

The value obtained for the formation energy without anion corrections is -1.71 eV per formula unit. The value obtained for the energy above the most stable polymorph in this dataset is 0.152 eV per atom.

---

(8)
This record from Alexandria via LeMat-Bulk describes crystalline Ho6Te3PRh2 at its relaxed geometry. The functional is PBE.

The space group is C2/m (No. 12) and the conventional cell measures 7.152, 12.394 and 7.496 Å, with angles of 90.00, 108.73 and 90.00 degrees. The distinct sites, in fractional coordinates, are Ho at (0.234, 0.000, 0.208), Ho at (0.237, 0.332, 0.208), Te at (0.000, 0.000, 0.500), Te at (0.000, 0.335, 0.500), P at (0.000, 0.500, 0.000) and Rh at (0.000, 0.167, 0.000).

The value obtained for the formation energy without anion corrections is -14.05 eV per formula unit.

---

(9)
This record from Alexandria via LeMat-Bulk describes crystalline SrLi6Au12 at its relaxed geometry. The functional is PBE.

The space group is R-3m (No. 166, hexagonal axes) and the conventional cell measures 11.7627, 11.7627 and 8.6726 Å, with angles of 90.00, 90.00 and 120.00 degrees. The distinct sites, in fractional coordinates, are Sr at (0.0000, 0.0000, 0.0000), Li at (0.0475, 0.5237, 0.2472), Au at (0.0000, 0.3804, 0.5000) and Au at (0.0829, 0.1658, 0.3112).

The value obtained for the total energy is -179.4 eV/cell.

---

(10)
This record from Alexandria via LeMat-Bulk describes crystalline TcSb2As at its relaxed geometry. The functional is PBE.

The space group is Pmmm (No. 47) and the conventional cell measures 3.478, 4.533 and 5.257 Å, with angles of 90.00, 90.00 and 90.00 degrees. The distinct sites, in fractional coordinates, are Tc at (0.000, 0.000, 0.000), Sb at (0.000, 0.500, 0.500), Sb at (0.500, 0.500, 0.000) and As at (0.500, 0.000, 0.500).

The value obtained for the formation energy without anion corrections is 2.44 eV per formula unit. The value obtained for the energy above the most stable polymorph in this dataset is 0.556 eV per atom.

---

(11)
This record from Alexandria via LeMat-Bulk describes crystalline TbPr4Er15 at its relaxed geometry. The functional is PBE.

The space group is P4/mmm (No. 123) and the conventional cell measures 5.029, 5.029 and 25.005 Å, with angles of 90.00, 90.00 and 90.00 degrees. The distinct sites, in fractional coordinates, are Tb at (0.000, 0.000, 0.000), Pr at (0.000, 0.000, 0.199), Pr at (0.000, 0.000, 0.400), Er at (0.000, 0.500, 0.098), Er at (0.000, 0.500, 0.299), Er at (0.000, 0.500, 0.500), Er at (0.500, 0.500, 0.000), Er at (0.500, 0.500, 0.199) and Er at (0.500, 0.500, 0.400).

The value obtained for the total energy is -91.7 eV/cell.

---

(12)
This record from Alexandria via LeMat-Bulk describes crystalline V2Ni5Pd at its relaxed geometry. The functional is PBE.

The space group is Immm (No. 71) and the conventional cell measures 2.557, 7.870 and 9.593 Å, with angles of 90.00, 90.00 and 90.00 degrees. The distinct sites, in fractional coordinates, are V at (0.000, 0.000, 0.247), Ni at (0.000, 0.000, 0.500), Ni at (0.000, 0.272, 0.130) and Pd at (0.000, 0.500, 0.500).

The value obtained for the total energy is -105.9 eV/cell.

---

Number 1: total magnetization 0.67 μB/atom. Number 2: total magnetization 0.00 μB/atom. Number 3: total magnetization 0.00 μB/atom. Number 4: total magnetization 0.00 μB/atom. Number 5: total magnetization 0.00 μB/atom. Number 6: total magnetization 0.02 μB/atom. Number 7: total magnetization 0.00 μB/atom. Number 8: total magnetization 0.00 μB/atom. Number 9: total magnetization 0.00 μB/atom. Number 10: total magnetization 0.00 μB/atom. Number 11: total magnetization 0.00 μB/atom. Number 12: total magnetization 0.00 μB/atom.